Record 1
Rb2AlCoAu: relaxed, PBE.

The raw total energy comes out at -2.611 eV per atom. Its energy of formation from the pure elements is 601 meV/atom. The calculated volume comes out at 206 Å³/f.u.

The space group is P4/mmm (No. 123) and the conventional cell measures 6.771, 6.771 and 4.488 Å, with angles of 90.00, 90.00 and 90.00 degrees. The distinct sites, in fractional coordinates, are Rb at (0.000, 0.500, 0.000), Al at (0.000, 0.000, 0.000), Co at (0.000, 0.000, 0.500) and Au at (0.500, 0.500, 0.500).

Record 2
RbAl2CoAu: relaxed, PBE.

The raw total energy comes out at -3.377 eV per atom. Its energy of formation from the pure elements is 391 meV/atom. The calculated volume comes out at 124 Å³/f.u.

The space group is P4/mmm (No. 123) and the conventional cell measures 4.624, 4.624 and 5.818 Å, with angles of 90.00, 90.00 and 90.00 degrees. The distinct sites, in fractional coordinates, are Rb at (0.000, 0.000, 0.000), Al at (0.000, 0.500, 0.500), Co at (0.000, 0.000, 0.500) and Au at (0.500, 0.500, 0.000).

Record 3
AlCoRhAu2: relaxed, PBE.

The raw total energy comes out at -4.171 eV per atom. Its energy of formation from the pure elements is 780 meV/atom. The calculated volume comes out at 98 Å³/f.u.

The space group is P4/mmm (No. 123) and the conventional cell measures 4.697, 4.697 and 4.453 Å, with angles of 90.00, 90.00 and 90.00 degrees. The distinct sites, in fractional coordinates, are Al at (0.000, 0.000, 0.000), Co at (0.500, 0.500, 0.500), Rh at (0.000, 0.000, 0.500) and Au at (0.000, 0.500, 0.000).

Record 4
Sc2AlCoAu: relaxed, PBE.

The raw total energy comes out at -5.389 eV per atom. Its energy of formation from the pure elements is -31 meV/atom. The calculated volume comes out at 102 Å³/f.u.

The space group is P4/mmm (No. 123) and the conventional cell measures 4.576, 4.576 and 4.880 Å, with angles of 90.00, 90.00 and 90.00 degrees. The distinct sites, in fractional coordinates, are Sc at (0.000, 0.500, 0.000), Al at (0.000, 0.000, 0.500), Co at (0.500, 0.500, 0.000) and Au at (0.500, 0.500, 0.500).

Record 5
Sm2Al4CoAu3: relaxed, PBE.

The raw total energy comes out at -4.773 eV per atom. Its energy of formation from the pure elements is -638 meV/atom. The calculated volume comes out at 195 Å³/f.u.

The space group is P-4m2 (No. 115) and the conventional cell measures 4.283, 4.283 and 10.609 Å, with angles of 90.00, 90.00 and 90.00 degrees. The distinct sites, in fractional coordinates, are Sm at (0.000, 0.500, 0.241), Al at (0.000, 0.000, 0.500), Al at (0.000, 0.500, 0.878), Al at (0.500, 0.500, 0.500), Co at (0.500, 0.500, 0.000), Au at (0.000, 0.000, 0.000) and Au at (0.000, 0.500, 0.639).

Record 6
Th2Al4CoAu3: relaxed, PBE.

The raw total energy comes out at -5.294 eV per atom. Its energy of formation from the pure elements is -619 meV/atom. The calculated volume comes out at 197 Å³/f.u.

The space group is P-4m2 (No. 115) and the conventional cell measures 4.342, 4.342 and 10.446 Å, with angles of 90.00, 90.00 and 90.00 degrees. The distinct sites, in fractional coordinates, are Th at (0.000, 0.500, 0.235), Al at (0.000, 0.000, 0.500), Al at (0.000, 0.500, 0.877), Al at (0.500, 0.500, 0.500), Co at (0.500, 0.500, 0.000), Au at (0.000, 0.000, 0.000) and Au at (0.000, 0.500, 0.635).

Record 7
Th2AlCoAu: relaxed, PBE.

The raw total energy comes out at -6.333 eV per atom. Its energy of formation from the pure elements is -540 meV/atom. The calculated volume comes out at 111 Å³/f.u.

The space group is P2_1/m (No. 11) and the conventional cell measures 7.432, 4.255 and 7.434 Å, with angles of 90.00, 109.62 and 90.00 degrees. The distinct sites, in fractional coordinates, are Th at (0.099, 0.250, 0.343), Th at (0.289, 0.250, 0.973), Al at (0.440, 0.750, 0.341), Co at (0.109, 0.750, 0.098) and Au at (0.335, 0.750, 0.660).

Record 8
AlCrAu2: relaxed, PBE.

The raw total energy comes out at -5.121 eV per atom. Its energy of formation from the pure elements is -141 meV/atom. The calculated volume comes out at 66 Å³/f.u.

The space group is P4/mmm (No. 123) and the conventional cell measures 4.308, 4.308 and 3.561 Å, with angles of 90.00, 90.00 and 90.00 degrees. The distinct sites, in fractional coordinates, are Al at (0.000, 0.000, 0.000), Cr at (0.500, 0.500, 0.000) and Au at (0.000, 0.500, 0.500).

Quick rundown of DOS at the Fermi energy, same order as above: 2.227; 3.110; 5.402; 2.929; 5.726; 5.113; 4.314; 0.982 states/eV/f.u.